Record 1
Compound: Cs2AsSCl5
Source: Alexandria
Functional: GGA-PBE
Structure: relaxed

CIF file:
```
data_Cs2AsSCl5
_chemical_formula_sum 'Cs2 As1 S1 Cl5'
_space_group_name_H-M_alt 'P 1'
_space_group_IT_number 1
_cell_length_a 7.490
_cell_length_b 7.490
_cell_length_c 7.490
_cell_angle_alpha 90.00
_cell_angle_beta 120.00
_cell_angle_gamma 120.00
loop_
_space_group_symop_operation_xyz
'x,y,z'
loop_
_atom_site_label
_atom_site_fract_x
_atom_site_fract_y
_atom_site_fract_z
As1 0.000 0.983 0.983
S1 0.000 0.778 0.778
Cl1 0.000 0.781 0.230
Cl2 0.000 0.209 0.209
Cs1 0.500 0.754 0.254
Cs2 0.500 0.254 0.754
Cl3 0.551 0.781 0.781
Cl4 0.000 0.230 0.781
Cl5 0.449 0.230 0.230
```

Properties
- DOS(E_F) (states/eV per atom) = 0.489
- total magnetic moment (μB per atom) = 0.000
- space group = I4mm
- energy (eV per atom) = -3.21
- E_form (uncorrected) (kJ per mole of atoms) = -98.7
- ρ (g/cm³) = 3.074

***

Record 2
Compound: Tm3SnIr
Source: Alexandria
Functional: GGA-PBE
Structure: relaxed

CIF file:
```
data_Tm3SnIr
_chemical_formula_sum 'Tm6 Sn2 Ir2'
_space_group_name_H-M_alt 'P 1'
_space_group_IT_number 1
_cell_length_a 4.480
_cell_length_b 4.728
_cell_length_c 11.711
_cell_angle_alpha 90.00
_cell_angle_beta 79.04
_cell_angle_gamma 90.00
loop_
_space_group_symop_operation_xyz
'x,y,z'
loop_
_atom_site_label
_atom_site_fract_x
_atom_site_fract_y
_atom_site_fract_z
Tm1 0.674 0.750 0.653
Tm2 0.174 0.250 0.653
Sn1 0.068 0.750 0.865
Ir1 0.251 0.750 0.498
Tm3 0.446 0.750 0.104
Tm4 0.554 0.250 0.896
Tm5 0.826 0.750 0.347
Tm6 0.326 0.250 0.347
Ir2 0.749 0.250 0.502
Sn2 0.932 0.250 0.135
```

Properties
- DOS(E_F) (states/eV per atom) = 0.339
- total magnetic moment (μB per atom) = 0.000
- space group = P2_1/m
- energy (eV per atom) = -5.95
- ρ (g/cm³) = 11.152
- ΔE_f (eV per atom) = -0.699

***

Record 3
Compound: PrSm5
Source: Alexandria
Functional: GGA-PBE
Structure: relaxed

CIF file:
```
data_PrSm5
_chemical_formula_sum 'Pr2 Sm10'
_space_group_name_H-M_alt 'P 1'
_space_group_IT_number 1
_cell_length_a 5.161
_cell_length_b 7.285
_cell_length_c 10.908
_cell_angle_alpha 90.00
_cell_angle_beta 90.00
_cell_angle_gamma 90.00
loop_
_space_group_symop_operation_xyz
'x,y,z'
loop_
_atom_site_label
_atom_site_fract_x
_atom_site_fract_y
_atom_site_fract_z
Sm1 0.750 0.626 0.917
Sm2 0.250 0.374 0.417
Sm3 0.750 0.124 0.250
Sm4 0.250 0.374 0.083
Sm5 0.750 0.124 0.917
Sm6 0.750 0.626 0.583
Sm7 0.250 0.876 0.083
Sm8 0.250 0.876 0.750
Sm9 0.750 0.124 0.583
Sm10 0.250 0.876 0.417
Pr1 0.250 0.375 0.750
Pr2 0.750 0.625 0.250
```

Properties
- DOS(E_F) (states/eV per atom) = 1.432
- total magnetic moment (μB per atom) = 0.000
- space group = Pmmn
- energy (eV per atom) = -4.71
- ρ (g/cm³) = 7.229
- ΔE_f (eV per atom) = 0.015

***

Record 4
Compound: ScVPt2
Source: Alexandria
Functional: GGA-PBE
Structure: relaxed

CIF file:
```
data_ScVPt2
_chemical_formula_sum 'Sc1 V1 Pt2'
_space_group_name_H-M_alt 'P 1'
_space_group_IT_number 1
_cell_length_a 2.860
_cell_length_b 2.860
_cell_length_c 7.731
_cell_angle_alpha 90.00
_cell_angle_beta 90.00
_cell_angle_gamma 90.00
loop_
_space_group_symop_operation_xyz
'x,y,z'
loop_
_atom_site_label
_atom_site_fract_x
_atom_site_fract_y
_atom_site_fract_z
Sc1 0.500 0.500 0.000
Pt1 0.000 0.000 0.733
V1 0.500 0.500 0.500
Pt2 0.000 0.000 0.267
```

Properties
- DOS(E_F) (states/eV per atom) = 0.678
- total magnetic moment (μB per atom) = 0.000
- space group = P4/mmm
- energy (eV per atom) = -7.65
- ρ (g/cm³) = 12.767
- ΔE_f (eV per atom) = -0.769

***

Record 5
Compound: Sm3Sb4Pt7
Source: Alexandria
Functional: GGA-PBE
Structure: relaxed

CIF file:
```
data_Sm3Sb4Pt7
_chemical_formula_sum 'Sm3 Sb4 Pt7'
_space_group_name_H-M_alt 'P 1'
_space_group_IT_number 1
_cell_length_a 8.616
_cell_length_b 8.616
_cell_length_c 10.564
_cell_angle_alpha 52.45
_cell_angle_beta 52.45
_cell_angle_gamma 28.86
loop_
_space_group_symop_operation_xyz
'x,y,z'
loop_
_atom_site_label
_atom_site_fract_x
_atom_site_fract_y
_atom_site_fract_z
Pt1 0.168 0.168 0.732
Sb1 0.173 0.173 0.974
Pt2 0.622 0.622 0.156
Pt3 0.017 0.017 0.673
Sm1 0.500 0.500 0.000
Sb2 0.360 0.360 0.411
Pt4 0.832 0.832 0.268
Sb3 0.640 0.640 0.589
Sb4 0.827 0.827 0.026
Pt5 0.500 0.500 0.500
Pt6 0.983 0.983 0.327
Sm2 0.171 0.171 0.315
Sm3 0.829 0.829 0.685
Pt7 0.378 0.378 0.844
```

Properties
- DOS(E_F) (states/eV per atom) = 0.352
- total magnetic moment (μB per atom) = 0.000
- space group = C2/m
- energy (eV per atom) = -6.11
- E_form (uncorrected) (kJ per mole of atoms) = -86.5
- ρ (g/cm³) = 13.005

***

Record 6
Compound: CsTlAg2Cl8
Source: Alexandria
Functional: GGA-PBE
Structure: relaxed

CIF file:
```
data_CsTlAg2Cl8
_chemical_formula_sum 'Cs1 Tl1 Ag2 Cl8'
_space_group_name_H-M_alt 'P 1'
_space_group_IT_number 1
_cell_length_a 5.989
_cell_length_b 6.166
_cell_length_c 11.229
_cell_angle_alpha 78.10
_cell_angle_beta 89.10
_cell_angle_gamma 85.04
loop_
_space_group_symop_operation_xyz
'x,y,z'
loop_
_atom_site_label
_atom_site_fract_x
_atom_site_fract_y
_atom_site_fract_z
Tl1 0.000 0.000 0.000
Cs1 0.000 0.000 0.500
Cl1 0.541 0.701 0.604
Cl2 0.176 0.836 0.814
Ag1 0.536 0.476 0.191
Cl3 0.459 0.299 0.396
Cl4 0.691 0.707 0.007
Cl5 0.786 0.246 0.804
Cl6 0.214 0.754 0.196
Cl7 0.824 0.164 0.186
Cl8 0.309 0.293 0.993
Ag2 0.464 0.524 0.809
```

Properties
- DOS(E_F) (states/eV per atom) = 0.399
- total magnetic moment (μB per atom) = 0.000
- space group = P-1
- energy (eV per atom) = -2.68
- E_form (uncorrected) (kJ per mole of atoms) = -67.6
- ρ (g/cm³) = 3.437

***

Record 7
Compound: HoAl3Ag3
Source: Alexandria
Functional: GGA-PBE
Structure: relaxed

CIF file:
```
data_HoAl3Ag3
_chemical_formula_sum 'Ho2 Al6 Ag6'
_space_group_name_H-M_alt 'P 1'
_space_group_IT_number 1
_cell_length_a 8.041
_cell_length_b 8.041
_cell_length_c 7.003
_cell_angle_alpha 54.96
_cell_angle_beta 54.96
_cell_angle_gamma 60.00
loop_
_space_group_symop_operation_xyz
'x,y,z'
loop_
_atom_site_label
_atom_site_fract_x
_atom_site_fract_y
_atom_site_fract_z
Al1 0.450 0.788 0.633
Al2 0.130 0.450 0.633
Al3 0.870 0.550 0.367
Ag1 0.340 0.057 0.843
Ag2 0.943 0.241 0.157
Al4 0.788 0.130 0.633
Ho1 0.323 0.323 0.031
Al5 0.212 0.870 0.367
Ag3 0.759 0.340 0.843
Ho2 0.677 0.677 0.969
Ag4 0.660 0.943 0.157
Ag5 0.241 0.660 0.157
Ag6 0.057 0.759 0.843
Al6 0.550 0.212 0.367
```

Properties
- DOS(E_F) (states/eV per atom) = 0.205
- total magnetic moment (μB per atom) = 0.000
- space group = R-3
- energy (eV per atom) = -3.57
- ρ (g/cm³) = 6.442
- ΔE_f (eV per atom) = -0.093

***

Record 8
Compound: KRbGe2
Source: Alexandria
Functional: GGA-PBE
Structure: relaxed

CIF file:
```
data_KRbGe2
_chemical_formula_sum 'K1 Rb1 Ge2'
_space_group_name_H-M_alt 'P 1'
_space_group_IT_number 1
_cell_length_a 5.718
_cell_length_b 5.718
_cell_length_c 5.718
_cell_angle_alpha 60.00
_cell_angle_beta 60.00
_cell_angle_gamma 60.00
loop_
_space_group_symop_operation_xyz
'x,y,z'
loop_
_atom_site_label
_atom_site_fract_x
_atom_site_fract_y
_atom_site_fract_z
Ge1 0.750 0.750 0.750
K1 0.000 0.000 0.000
Ge2 0.250 0.250 0.250
Rb1 0.500 0.500 0.500
```

Properties
- DOS(E_F) (states/eV per atom) = 0.316
- total magnetic moment (μB per atom) = 0.000
- space group = Fm-3m
- energy (eV per atom) = -2.39
- ρ (g/cm³) = 3.390
- ΔE_f (eV per atom) = 0.436

***

Record 9
Compound: NaCrSb2Te
Source: Alexandria
Functional: GGA-PBE
Structure: relaxed

CIF file:
```
data_NaCrSb2Te
_chemical_formula_sum 'Na1 Cr1 Sb2 Te1'
_space_group_name_H-M_alt 'P 1'
_space_group_IT_number 1
_cell_length_a 5.066
_cell_length_b 5.066
_cell_length_c 5.730
_cell_angle_alpha 90.00
_cell_angle_beta 90.00
_cell_angle_gamma 90.00
loop_
_space_group_symop_operation_xyz
'x,y,z'
loop_
_atom_site_label
_atom_site_fract_x
_atom_site_fract_y
_atom_site_fract_z
Sb1 0.000 0.500 0.000
Te1 0.000 0.000 0.500
Sb2 0.500 0.000 0.000
Cr1 0.000 0.000 0.000
Na1 0.500 0.500 0.500
```

Properties
- DOS(E_F) (states/eV per atom) = 0.566
- total magnetic moment (μB per atom) = 0.482
- space group = P4/mmm
- energy (eV per atom) = -4.36
- E_form (uncorrected) (kJ per mole of atoms) = 10.5
- ρ (g/cm³) = 5.038

***

Record 10
Compound: LiCdGa2Sn
Source: Alexandria
Functional: GGA-PBE
Structure: relaxed

CIF file:
```
data_LiCdGa2Sn
_chemical_formula_sum 'Li1 Cd1 Ga2 Sn1'
_space_group_name_H-M_alt 'P 1'
_space_group_IT_number 1
_cell_length_a 5.133
_cell_length_b 5.731
_cell_length_c 5.133
_cell_angle_alpha 90.00
_cell_angle_beta 90.00
_cell_angle_gamma 90.00
loop_
_space_group_symop_operation_xyz
'x,y,z'
loop_
_atom_site_label
_atom_site_fract_x
_atom_site_fract_y
_atom_site_fract_z
Cd1 0.000 0.000 0.000
Sn1 0.000 0.500 0.000
Ga1 0.000 0.000 0.500
Li1 0.500 0.500 0.500
Ga2 0.500 0.000 0.000
```

Properties
- DOS(E_F) (states/eV per atom) = 0.450
- total magnetic moment (μB per atom) = 0.000
- space group = P4/mmm
- energy (eV per atom) = -2.18
- ρ (g/cm³) = 4.152
- ΔE_f (eV per atom) = 0.394

***

Record 11
Compound: Rb2BaLiI5
Source: Alexandria
Functional: GGA-PBE
Structure: relaxed

CIF file:
```
data_Rb2BaLiI5
_chemical_formula_sum 'Rb4 Ba2 Li2 I10'
_space_group_name_H-M_alt 'P 1'
_space_group_IT_number 1
_cell_length_a 5.027
_cell_length_b 11.113
_cell_length_c 15.683
_cell_angle_alpha 90.00
_cell_angle_beta 90.00
_cell_angle_gamma 103.07
loop_
_space_group_symop_operation_xyz
'x,y,z'
loop_
_atom_site_label
_atom_site_fract_x
_atom_site_fract_y
_atom_site_fract_z
I1 0.707 0.413 0.184
I2 0.293 0.587 0.684
I3 0.353 0.705 0.013
Ba1 0.804 0.608 0.533
Rb1 0.105 0.211 0.681
I4 0.496 0.992 0.767
I5 0.036 0.072 0.005
I6 0.647 0.295 0.513
I7 0.683 0.366 0.879
Li1 0.553 0.107 0.920
I8 0.317 0.634 0.379
Rb2 0.895 0.789 0.181
Ba2 0.196 0.392 0.033
I9 0.504 0.008 0.267
Rb3 0.882 0.764 0.842
Li2 0.447 0.893 0.420
I10 0.964 0.928 0.505
Rb4 0.118 0.236 0.342
```

Properties
- DOS(E_F) (states/eV per atom) = 0.000
- total magnetic moment (μB per atom) = 0.000
- space group = Cmc2_1
- energy (eV per atom) = -3.02
- E_form (uncorrected) (kJ per mole of atoms) = -146.8
- ρ (g/cm³) = 3.696